No. 1
Below is a geometry-optimized CuHg3Mo structure, with properties calculated at the PBE level.

```
CuHg3Mo
1.0
4.992 0.000 0.000
0.000 4.992 0.000
0.000 0.000 4.992
Mo Hg Cu
1 3 1
Cartesian
2.496 2.496 2.496
0.000 2.496 0.000
0.000 0.000 2.496
2.496 0.000 0.000
0.000 0.000 0.000
```

Summary:
- D(E_F): 2.4 states/eV/cell
- Relative energy among the computed polymorphs: 0.0 meV per atom
- E_form: 1001 meV per atom


No. 2
Below is a geometry-optimized CuHg3Mo structure, with properties calculated at the PBE level.

```
CuHg3Mo
1.0
-4.665 2.542 1.197
-1.991 -4.628 2.066
1.982 1.332 4.894
Mo Hg Cu
1 3 1
Cartesian
0.000 0.000 0.000
-0.996 -2.314 1.033
0.991 0.666 2.447
-2.332 1.271 0.599
-2.337 -0.377 4.079
```

Summary:
- D(E_F): 4.5 states/eV/cell
- Relative energy among the computed polymorphs: 204.8 meV per atom
- E_form: 1206 meV per atom


No. 3
Below is a geometry-optimized CuHgMo3 structure, with properties calculated at the PBE level.

```
CuHgMo3
1.0
4.538 0.000 0.000
0.000 4.538 0.000
0.000 0.000 4.538
Mo Hg Cu
3 1 1
Cartesian
0.000 2.269 0.000
0.000 0.000 2.269
2.269 0.000 0.000
2.269 2.269 2.269
0.000 0.000 0.000
```

Summary:
- D(E_F): 2.5 states/eV/cell
- Relative energy among the computed polymorphs: 0.0 meV per atom
- E_form: 1503 meV per atom


No. 4
Below is a geometry-optimized Cu3HgMo structure, with properties calculated at the PBE level.

```
Cu3HgMo
1.0
-3.211 -0.505 -3.450
-0.144 -4.667 0.817
-3.484 0.659 3.146
Mo Hg Cu
1 1 3
Cartesian
0.000 0.000 0.000
-3.419 -2.257 0.257
-0.072 -2.333 0.409
-1.742 0.329 1.573
-1.605 -0.253 -1.725
```

Summary:
- D(E_F): 8.4 states/eV/cell
- Relative energy among the computed polymorphs: 0.0 meV per atom
- E_form: 1428 meV per atom


No. 5
Below is a geometry-optimized Cu3HgMo structure, with properties calculated at the PBE level.

```
Cu3HgMo
1.0
4.647 0.000 0.000
0.000 4.647 0.000
0.000 0.000 4.647
Mo Hg Cu
1 1 3
Cartesian
2.324 2.324 2.324
0.000 0.000 0.000
0.000 2.324 0.000
0.000 0.000 2.324
2.324 0.000 0.000
```

Summary:
- D(E_F): 5.3 states/eV/cell
- Relative energy among the computed polymorphs: 220.3 meV per atom
- E_form: 1648 meV per atom


No. 6
Below is a geometry-optimized Cu4HgMo structure, with properties calculated at the PBE level.

```
Cu4HgMo
1.0
0.000 3.482 3.482
3.482 0.000 3.482
3.482 3.482 0.000
Cu Hg Mo
4 1 1
Cartesian
2.607 4.357 4.357
4.357 4.357 2.607
4.357 2.607 4.357
2.607 2.607 2.607
5.223 5.223 5.223
0.000 0.000 0.000
```

Summary:
- D(E_F): 1.9 states/eV/cell
- E_form: 332 meV per atom


Number 1: total energy -2.17 eV/atom. Number 2: total energy -1.96 eV/atom. Number 3: total energy -5.88 eV/atom. Number 4: total energy -3.26 eV/atom. Number 5: total energy -3.04 eV/atom. Number 6: total energy -4.25 eV/atom.